This record from the Alexandria database describes a relaxed CrAgO2F crystal. The functional is PBE+U.

Properties
- Space group: P4/mmm (123)
- Energy: -0.33944 Ry per atom
- Total magnetization: 3.8 Bohr magnetons per cell

Unit cell a=4.0969 b=4.0969 c=4.1624 alpha=90.00 beta=90.00 gamma=90.00
Last column: magnetic moment on the atom in μB.
Fractional positions:
O 0.0000 0.5000 0.0000  -0.26
O 0.5000 0.0000 0.0000  -0.26
Ag 0.0000 0.0000 0.0000  -0.06
F 0.0000 0.0000 0.5000  0.01
Cr 0.5000 0.5000 0.5000  4.15